Here is crystalline Li4V3Fe3Sn2O16 at its relaxed geometry from Alexandria. Energies are from GGA+U.

* E_tot: -6.6389 eV/atom
* size of the total moment: 19.0 μB/f.u.

The structure in CIF format:
```
data_Li4V3Fe3Sn2O16
_chemical_formula_sum 'Li4 V3 Fe3 Sn2 O16'
_cell_length_a 5.978
_cell_length_b 6.005
_cell_length_c 9.796
_cell_angle_alpha 89.91
_cell_angle_beta 89.85
_cell_angle_gamma 60.31
_symmetry_space_group_name_H-M 'P 1'
_symmetry_Int_Tables_number 1
loop_
_symmetry_equiv_pos_as_xyz
'x,y,z'
loop_
_atom_site_label
_atom_site_type_symbol
_atom_site_fract_x
_atom_site_fract_y
_atom_site_fract_z
_atom_site_occupancy
Li1 Li 0.000 0.000 0.000 1
Li2 Li 0.002 0.998 0.499 1
Li3 Li 0.322 0.331 0.902 1
Li4 Li 0.656 0.664 0.402 1
V1 V 0.164 0.657 0.218 1
V2 V 0.169 0.170 0.225 1
V3 V 0.339 0.826 0.725 1
Fe1 Fe 0.660 0.169 0.220 1
Fe2 Fe 0.828 0.335 0.720 1
Fe3 Fe 0.829 0.827 0.719 1
Sn1 Sn 0.333 0.331 0.498 1
Sn2 Sn 0.664 0.664 0.998 1
O1 O 0.002 0.009 0.313 1
O2 O 0.012 0.989 0.813 1
O3 O 0.028 0.474 0.346 1
O4 O 0.158 0.676 0.604 1
O5 O 0.160 0.159 0.607 1
O6 O 0.320 0.834 0.108 1
O7 O 0.323 0.311 0.112 1
O8 O 0.472 0.032 0.346 1
O9 O 0.476 0.479 0.344 1
O10 O 0.503 0.522 0.845 1
O11 O 0.506 0.963 0.845 1
O12 O 0.638 0.676 0.614 1
O13 O 0.677 0.158 0.606 1
O14 O 0.836 0.320 0.104 1
O15 O 0.836 0.836 0.107 1
O16 O 0.957 0.518 0.844 1
```